[1]
The following is a PBE-GGA calculation of an optimized crystal structure of LiN2Cl, from the Alexandria database.

Space-group type: R-3m, No. 166
Offset from the most stable computed form, meV per atom: 2035
Formation energy (no corrections), eV/atom: 1.166

Lattice parameters (Å, degrees): 4.955 4.955 4.955 41.90 41.90 41.90
Sites, in units of the cell vectors:
Cl  0.000  0.000  0.000
N  0.150  0.150  0.150
Li  0.500  0.500  0.500
N  0.850  0.850  0.850

***

[2]
The following is a PBE-GGA calculation of an optimized crystal structure of TlHg3Pb2, from the Alexandria database.

Space-group type: P4/mmm, No. 123
Formation energy from the elements, kJ per mole of atoms: 3
Offset from the most stable computed form, meV per atom: 0

Lattice parameters (Å, degrees): 3.463 3.463 14.124 90.00 90.00 90.00
Sites, in units of the cell vectors:
Hg  0.000  0.000  0.335
Pb  0.500  0.500  0.834
Tl  0.500  0.500  0.500
Pb  0.500  0.500  0.166
Hg  0.000  0.000  0.665
Hg  0.000  0.000  0.000

***

[3]
The following is a PBE-GGA calculation of an optimized crystal structure of NaAg2PbF6, from the Alexandria database.

Space-group type: P2_1/c, No. 14
Formation energy (no corrections), eV/atom: -1.770

Lattice parameters (Å, degrees): 6.001 6.167 8.705 90.00 91.33 90.00
Sites, in units of the cell vectors:
F  0.180  0.195  0.419
Pb  0.500  0.000  0.000
F  0.370  0.927  0.754
F  0.680  0.305  0.919
Ag  0.480  0.441  0.255
F  0.815  0.815  0.939
F  0.130  0.427  0.746
F  0.870  0.573  0.254
F  0.820  0.805  0.581
F  0.315  0.685  0.439
F  0.320  0.695  0.081
Na  0.500  0.000  0.500
F  0.185  0.185  0.061
Na  0.000  0.500  0.000
F  0.630  0.073  0.246
Ag  0.520  0.559  0.745
Ag  0.020  0.941  0.245
F  0.685  0.315  0.561
Ag  0.980  0.059  0.755
Pb  0.000  0.500  0.500

***

[4]
The following is a PBE-GGA calculation of an optimized crystal structure of Nd8CoPt2, from the Alexandria database.

Space-group type: Cm, No. 8
Formation energy from the elements, kJ per mole of atoms: -32
Offset from the most stable computed form, meV per atom: 63

Lattice parameters (Å, degrees): 6.511 7.653 7.653 108.65 102.99 102.99
Sites, in units of the cell vectors:
Nd  0.971  0.166  0.837
Co  0.225  0.002  0.002
Nd  0.788  0.640  0.640
Nd  0.605  0.357  0.088
Pt  0.488  0.691  0.325
Pt  0.488  0.325  0.691
Nd  0.605  0.088  0.357
Nd  0.335  0.646  0.919
Nd  0.188  0.364  0.364
Nd  0.335  0.919  0.646
Nd  0.971  0.837  0.166

***

[5]
The following is a PBE-GGA calculation of an optimized crystal structure of Tb6Pm2PrHo3, from the Alexandria database.

Space-group type: C2/m, No. 12
Formation energy from the elements, kJ per mole of atoms: 2

Lattice parameters (Å, degrees): 6.200 6.200 11.856 94.98 94.98 119.97
Sites, in units of the cell vectors:
Pm  0.667  0.333  0.000
Tb  0.085  0.419  0.254
Tb  0.751  0.751  0.254
Ho  0.167  0.833  0.500
Ho  0.833  0.167  0.500
Tb  0.249  0.249  0.746
Ho  0.500  0.500  0.500
Pm  0.333  0.667  0.000
Tb  0.915  0.581  0.746
Pr  0.000  0.000  0.000
Tb  0.419  0.085  0.254
Tb  0.581  0.915  0.746

***

[6]
The following is a PBE-GGA calculation of an optimized crystal structure of RbScC, from the Alexandria database.

Space-group type: P6_3mc, No. 186
Formation energy from the elements, kJ per mole of atoms: 48
Offset from the most stable computed form, meV per atom: 465

Lattice parameters (Å, degrees): 3.728 3.728 13.120 90.00 90.00 120.00
Sites, in units of the cell vectors:
Sc  0.667  0.333  0.497
Rb  0.000  0.000  0.216
Sc  0.333  0.667  0.997
C  0.667  0.333  0.037
C  0.333  0.667  0.537
Rb  0.000  0.000  0.716